Here is an optimized crystal structure of BeTe2As from the Alexandria database. Energies are from PBEsol.

Computed properties:
Uncorrected energy: -3.63 eV per atom
Density of states at the Fermi level: 1.9 states/eV/f.u.
SG: No. 71

Lattice parameters (Å, degrees): 3.7209 7.2575 7.4690 90.00 90.00 90.00
Fractional coordinates of all 8 atoms:
1 Be 0.0000 0.0000 0.0000
2 Be 0.5000 0.5000 0.5000
3 Te 0.0000 0.5000 0.2769
4 Te 0.0000 0.5000 0.7231
5 Te 0.5000 0.0000 0.2231
6 Te 0.5000 0.0000 0.7769
7 As 0.0000 0.0000 0.5000
8 As 0.5000 0.5000 0.0000